# Li2TbMgAg4 | Alexandria | PBE | optimized geometry
# Total magnetic moment   0.0 μB per formula unit
# Crystal system   trigonal
# VASP energy   -69.27 eV for the cell shown
# N(E_F)   8.86 states/eV/cell
data_Li2TbMgAg4
_cell_length_a 4.7942
_cell_length_b 4.7942
_cell_length_c 23.2750
_cell_angle_alpha 90.00
_cell_angle_beta 90.00
_cell_angle_gamma 120.00
_symmetry_space_group_name_H-M 'R -3 m'
_symmetry_Int_Tables_number 166
_symmetry_space_group_name_Hall '-R 3 2"'
loop_
_atom_site_label
_atom_site_type_symbol
_atom_site_fract_x
_atom_site_fract_y
_atom_site_fract_z
_atom_site_occupancy
Li1 Li 0.0000 0.0000 0.2484 1
Tb1 Tb 0.0000 0.0000 0.0000 1
Mg1 Mg 0.0000 0.0000 0.5000 1
Ag1 Ag 0.0000 0.0000 0.1302 1
Ag2 Ag 0.0000 0.0000 0.3823 1

***

# BaV2Os | Alexandria | PBE | optimized geometry
# Total magnetic moment   4.1 μB per formula unit
# Crystal system   tetragonal
# VASP energy   -109.91 eV for the cell shown
# Energy above the lowest structure with this stoichiometry   0.0 meV per atom
# N(E_F)   19.40 states/eV/cell
data_BaV2Os
_cell_length_a 5.269
_cell_length_b 5.269
_cell_length_c 16.171
_cell_angle_alpha 90.00
_cell_angle_beta 90.00
_cell_angle_gamma 90.00
_symmetry_space_group_name_H-M 'I 41/a m d'
_symmetry_Int_Tables_number 141
loop_
_symmetry_equiv_pos_as_xyz
'x,y,z'
'-x,-y,-z'
'-y+1/4,x+3/4,z+1/4'
'y+1/4,-x+3/4,-z+1/4'
'-x+1/2,-y,z+1/2'
'x+1/2,y,-z+1/2'
'y+1/4,-x+1/4,z+3/4'
'-y+1/4,x+1/4,-z+3/4'
'x,-y,-z'
'-x,y,z'
'-y+1/4,-x+1/4,-z+3/4'
'y+1/4,x+1/4,z+3/4'
'-x+1/2,y,-z+1/2'
'x+1/2,-y,z+1/2'
'y+1/4,x+3/4,-z+1/4'
'-y+1/4,-x+3/4,z+1/4'
'x+1/2,y+1/2,z+1/2'
'-x+1/2,-y+1/2,-z+1/2'
'-y+3/4,x+1/4,z+3/4'
'y+3/4,-x+1/4,-z+3/4'
'-x,-y+1/2,z'
'x,y+1/2,-z'
'y+3/4,-x+3/4,z+1/4'
'-y+3/4,x+3/4,-z+1/4'
'x+1/2,-y+1/2,-z+1/2'
'-x+1/2,y+1/2,z+1/2'
'-y+3/4,-x+3/4,-z+1/4'
'y+3/4,x+3/4,z+1/4'
'-x,y+1/2,-z'
'x,-y+1/2,z'
'y+3/4,x+1/4,-z+3/4'
'-y+3/4,-x+1/4,z+3/4'
loop_
_atom_site_label
_atom_site_type_symbol
_atom_site_fract_x
_atom_site_fract_y
_atom_site_fract_z
_atom_site_occupancy
Ba1 Ba 0.000 0.250 0.375 1
V1 V 0.000 0.000 0.000 1
Os1 Os 0.000 0.250 0.875 1